## KYCu2Cl8 (PBE)

Data for a geometry-optimized KYCu2Cl8 structure.

Computed properties:
- electronic total energy (eV per atom) = -3.787
- density of states at the Fermi level (states/eV per cell) = 10.55
- volume (A^3/atom) = 25.15
- formation energy from raw total energies (eV per atom) = -1.243

Geometry as POSCAR:
```
KYCu2Cl8
1.0
6.4651 0.0000 0.0000
0.0000 6.4651 0.0000
-3.2326 -3.2326 7.2201
Cl Cu Y K
8 2 1 1
Direct
0.0197 0.4114 0.3779
0.7140 0.8546 0.1705
0.5886 0.6418 0.6221
0.4566 0.3159 0.1705
0.0335 0.9803 0.6221
0.6841 0.2860 0.8295
0.1454 0.5434 0.8295
0.3582 0.9665 0.3779
0.2500 0.7500 0.5000
0.5000 0.5000 0.0000
0.7500 0.2500 0.5000
0.0000 0.0000 0.0000
```